1.
Computed, not measured: Mg6GaB after structural relaxation at the GGA-PBE level of DFT.

Results
E above lowest polymorph, eV per atom: 0.127
Energy of formation from the pure elements, meV/atom: 294
Uncorrected energy, eV per atom: -2.115
Density, Mg/m³: 2.4

Structure (extended XYZ):
```
8
Lattice="4.582 0.000 0.000 0.000 3.257 5.174 0.000 -3.257 5.174" Properties=species:S:1:pos:R:3 pbc="T T T"
Mg 0.000 0.000 0.000
Mg 0.000 0.000 5.158
Mg 0.000 -1.503 7.901
Mg 0.000 1.503 7.901
Mg 2.291 -1.651 5.895
Mg 2.291 1.651 5.895
Ga 2.291 0.000 3.382
B 2.291 0.000 8.994
```


2.
Computed, not measured: Sr2CdGaBi after structural relaxation at the GGA-PBE level of DFT.

Results
E above lowest polymorph, eV per atom: 0.000
Energy of formation from the pure elements, meV/atom: 60
Uncorrected energy, eV per atom: -2.177
Density, Mg/m³: 4.1

Structure (extended XYZ):
```
5
Lattice="6.332 0.000 0.000 0.000 6.332 0.000 0.000 0.000 5.687" Properties=species:S:1:pos:R:3 pbc="T T T"
Sr 0.000 3.166 0.000
Sr 3.166 0.000 0.000
Cd 0.000 0.000 2.843
Ga 3.166 3.166 2.843
Bi 0.000 0.000 0.000
```


3.
Computed, not measured: Ce2Pr3PuP6 after structural relaxation at the GGA-PBE level of DFT.

Results
Energy of formation from the pure elements, meV/atom: -1449
Uncorrected energy, eV per atom: -7.532
Density, Mg/m³: 6.3

Structure (extended XYZ):
```
12
Lattice="3.575 -6.192 0.000 3.575 6.192 0.000 -2.386 0.000 6.752" Properties=species:S:1:pos:R:3 pbc="T T T"
Ce 3.575 4.128 0.000
Ce 3.575 -4.128 0.000
Pr -1.193 0.000 3.376
Pr 2.382 2.071 3.376
Pr 2.382 -2.071 3.376
Pu 3.575 0.000 0.000
P 0.007 2.049 5.149
P 1.207 0.000 1.607
P 0.007 -2.049 5.149
P 4.758 2.049 1.603
P 3.557 0.000 5.145
P 4.758 -2.049 1.603
```


4.
Computed, not measured: BaSiW2 after structural relaxation at the GGA-PBE level of DFT.

Results
E above lowest polymorph, eV per atom: 0.080
Uncorrected energy, eV per atom: -7.817
Density, Mg/m³: 9.3

Structure (extended XYZ):
```
4
Lattice="4.182 -1.667 0.000 4.182 1.667 0.000 -1.256 0.000 6.863" Properties=species:S:1:pos:R:3 pbc="T T T"
Ba 0.000 0.000 0.000
Si 1.321 0.000 4.482
W 3.725 0.000 3.573
W 6.164 0.000 2.593
```


5.
Computed, not measured: PrEr5Sb6 after structural relaxation at the GGA-PBE level of DFT.

Results
Uncorrected energy, eV per atom: -5.464
Density, Mg/m³: 7.9

Structure (extended XYZ):
```
12
Lattice="3.801 -6.585 0.000 3.801 6.585 0.000 -2.540 0.000 7.165" Properties=species:S:1:pos:R:3 pbc="T T T"
Pr 0.000 0.000 0.000
Er 2.530 4.435 3.583
Er 3.801 2.211 0.000
Er 2.530 0.000 3.583
Er 3.801 -2.211 0.000
Er 2.530 -4.435 3.583
Sb 1.295 2.243 1.831
Sb 0.055 0.000 5.358
Sb 1.295 -2.243 1.831
Sb 3.766 2.243 5.334
Sb 5.005 0.000 1.807
Sb 3.766 -2.243 5.334
```


6.
Computed, not measured: Ba2CaZn after structural relaxation at the GGA-PBE level of DFT.

Results
Energy of formation from the pure elements, meV/atom: 119
Uncorrected energy, eV per atom: -1.661
Density, Mg/m³: 3.7

Structure (extended XYZ):
```
4
Lattice="-2.657 2.657 5.971 2.657 -2.657 5.971 2.657 2.657 -5.971" Properties=species:S:1:pos:R:3 pbc="T T T"
Ba 0.000 0.000 0.000
Ba 0.000 2.657 2.985
Ca 2.657 0.000 2.985
Zn 0.000 0.000 5.971
```


7.
Computed, not measured: NdH3Rh after structural relaxation at the GGA-PBE level of DFT.

Results
Uncorrected energy, eV per atom: -5.018
Density, Mg/m³: 8.0

Structure (extended XYZ):
```
5
Lattice="3.738 0.000 0.000 0.000 3.738 0.000 0.000 0.000 3.738" Properties=species:S:1:pos:R:3 pbc="T T T"
Nd 0.000 0.000 0.000
H 0.000 1.869 1.869
H 1.869 0.000 1.869
H 1.869 1.869 0.000
Rh 1.869 1.869 1.869
```


8.
Computed, not measured: Ag3Te after structural relaxation at the GGA-PBE level of DFT.

Results
E above lowest polymorph, eV per atom: 0.068
Uncorrected energy, eV per atom: -2.828
Density, Mg/m³: 8.7

Structure (extended XYZ):
```
4
Lattice="4.591 -1.525 0.000 4.591 1.525 0.000 -0.759 0.000 6.179" Properties=species:S:1:pos:R:3 pbc="T T T"
Ag 0.000 0.000 0.000
Ag 1.758 0.000 4.886
Ag 6.666 0.000 1.293
Te 4.212 0.000 3.089
```


9.
Computed, not measured: BeCdSb after structural relaxation at the GGA-PBE level of DFT.

Results
E above lowest polymorph, eV per atom: 0.014
Uncorrected energy, eV per atom: -2.714
Density, Mg/m³: 6.1

Structure (extended XYZ):
```
3
Lattice="3.639 -2.087 0.000 3.639 2.087 0.000 -2.398 0.000 4.347" Properties=species:S:1:pos:R:3 pbc="T T T"
Be 0.000 0.000 0.000
Cd 4.877 0.000 1.739
Sb 0.022 0.000 4.003
```


10.
Computed, not measured: SmPuIn3 after structural relaxation at the GGA-PBE level of DFT.

Results
Energy of formation from the pure elements, meV/atom: 149
Uncorrected energy, eV per atom: -5.305
Density, Mg/m³: 9.1

Structure (extended XYZ):
```
10
Lattice="4.023 -7.152 0.000 4.023 7.152 0.000 0.000 0.000 4.672" Properties=species:S:1:pos:R:3 pbc="T T T"
Sm 4.023 5.511 3.504
Sm 4.023 -5.511 1.168
Pu 4.023 0.000 0.000
Pu 4.023 0.000 2.336
In 2.139 2.132 3.504
In 4.023 2.928 1.168
In 2.139 -2.132 1.168
In 5.906 2.132 3.504
In 4.023 -2.928 3.504
In 5.906 -2.132 1.168
```


11.
Computed, not measured: Mg2MnP after structural relaxation at the GGA-PBE level of DFT.

Results
Energy of formation from the pure elements, meV/atom: -51
Uncorrected energy, eV per atom: -4.493
Density, Mg/m³: 3.4

Structure (extended XYZ):
```
4
Lattice="4.095 0.000 0.000 0.000 4.095 0.000 0.000 0.000 3.883" Properties=species:S:1:pos:R:3 pbc="T T T"
Mg 0.000 2.047 0.000
Mg 2.047 0.000 0.000
Mn 0.000 0.000 1.942
P 2.047 2.047 1.942
```


12.
Computed, not measured: CdHgS2 after structural relaxation at the GGA-PBE level of DFT.

Results
E above lowest polymorph, eV per atom: 0.414
Uncorrected energy, eV per atom: -2.337
Density, Mg/m³: 7.4

Structure (extended XYZ):
```
8
Lattice="-3.541 3.541 3.388 3.541 -3.541 3.388 3.541 3.541 -3.388" Properties=species:S:1:pos:R:3 pbc="T T T"
Cd 3.541 0.000 1.694
Cd 0.000 3.541 1.694
Hg 0.000 0.000 1.694
Hg 0.000 0.000 5.082
S 4.930 1.389 0.000
S 1.389 2.152 0.000
S 2.152 1.389 3.388
S -1.389 2.152 3.388
```


13.
Computed, not measured: Th2ScAl3Au4 after structural relaxation at the GGA-PBE level of DFT.

Results
Energy of formation from the pure elements, meV/atom: -662
Uncorrected energy, eV per atom: -5.213
Density, Mg/m³: 10.7

Structure (extended XYZ):
```
10
Lattice="4.406 0.000 0.000 0.000 4.406 0.000 0.000 0.000 10.994" Properties=species:S:1:pos:R:3 pbc="T T T"
Th 0.000 2.203 2.567
Th 2.203 0.000 8.427
Sc 0.000 0.000 5.497
Al 0.000 2.203 9.577
Al 2.203 0.000 1.417
Al 2.203 2.203 5.497
Au 0.000 0.000 0.000
Au 0.000 2.203 7.090
Au 2.203 0.000 3.904
Au 2.203 2.203 0.000
```


14.
Computed, not measured: MgTlGe2 after structural relaxation at the GGA-PBE level of DFT.

Results
E above lowest polymorph, eV per atom: 0.026
Energy of formation from the pure elements, meV/atom: 246
Uncorrected energy, eV per atom: -3.053
Density, Mg/m³: 6.7

Structure (extended XYZ):
```
8
Lattice="-3.981 3.981 2.911 3.981 -3.981 2.911 3.981 3.981 -2.911" Properties=species:S:1:pos:R:3 pbc="T T T"
Mg 0.000 0.000 0.000
Mg 0.000 3.981 1.455
Tl 3.981 0.000 1.455
Tl 0.000 0.000 2.911
Ge 5.972 1.925 -0.728
Ge 1.925 1.991 0.728
Ge -1.991 2.056 2.183
Ge 2.056 1.991 3.638
```


15.
Computed, not measured: Ba2LaZn after structural relaxation at the GGA-PBE level of DFT.

Results
Energy of formation from the pure elements, meV/atom: 88
Uncorrected energy, eV per atom: -2.423
Density, Mg/m³: 5.0

Structure (extended XYZ):
```
4
Lattice="-2.085 2.911 6.512 2.085 -2.911 6.512 2.085 2.911 -6.512" Properties=species:S:1:pos:R:3 pbc="T T T"
Ba 0.000 0.000 2.643
Ba 0.000 0.000 10.382
La 0.000 2.911 0.000
Zn 2.085 0.000 0.000
```


16.
Computed, not measured: LaAg3Ge3 after structural relaxation at the GGA-PBE level of DFT.

Results
Energy of formation from the pure elements, meV/atom: 177
Uncorrected energy, eV per atom: -3.728
Density, Mg/m³: 6.4

Structure (extended XYZ):
```
14
Lattice="7.078 0.000 0.000 0.000 7.078 0.000 0.000 0.000 7.078" Properties=species:S:1:pos:R:3 pbc="T T T"
La 0.000 0.000 0.000
La 3.539 3.539 3.539
Ag 0.000 1.769 3.539
Ag 0.000 5.308 3.539
Ag 1.769 3.539 0.000
Ag 3.539 0.000 1.769
Ag 3.539 0.000 5.308
Ag 5.308 3.539 0.000
Ge 0.000 3.539 1.769
Ge 0.000 3.539 5.308
Ge 1.769 0.000 3.539
Ge 3.539 1.769 0.000
Ge 3.539 5.308 0.000
Ge 5.308 0.000 3.539
```


17.
Computed, not measured: MgGa3Pd2 after structural relaxation at the GGA-PBE level of DFT.

Results
Energy of formation from the pure elements, meV/atom: -472
Uncorrected energy, eV per atom: -3.982
Density, Mg/m³: 7.2

Structure (extended XYZ):
```
18
Lattice="9.036 -2.008 0.000 9.036 2.008 0.000 -5.931 0.000 8.529" Properties=species:S:1:pos:R:3 pbc="T T T"
Mg 0.000 0.000 0.000
Mg -0.895 0.000 5.681
Mg 13.038 0.000 2.848
Ga -4.024 0.000 5.943
Ga 1.361 0.000 3.377
Ga 5.231 0.000 0.442
Ga 1.933 0.000 6.900
Ga 6.071 0.000 4.265
Ga 10.210 0.000 1.629
Ga 6.911 0.000 8.087
Ga 10.782 0.000 5.153
Ga 16.167 0.000 2.586
Pd 2.737 0.000 1.095
Pd 3.564 0.000 4.843
Pd 7.636 0.000 0.946
Pd 4.506 0.000 7.584
Pd 8.578 0.000 3.686
Pd 9.406 0.000 7.434
```


18.
Computed, not measured: Cs2KBiAu after structural relaxation at the GGA-PBE level of DFT.

Results
E above lowest polymorph, eV per atom: 0.000
Energy of formation from the pure elements, meV/atom: -174
Uncorrected energy, eV per atom: -2.167
Density, Mg/m³: 4.3

Structure (extended XYZ):
```
5
Lattice="7.014 0.000 0.000 0.000 7.014 0.000 0.000 0.000 5.582" Properties=species:S:1:pos:R:3 pbc="T T T"
Cs 0.000 3.507 0.000
Cs 3.507 0.000 0.000
K 0.000 0.000 2.791
Bi 3.507 3.507 2.791
Au 3.507 3.507 0.000
```


19.
Computed, not measured: YCuTc2 after structural relaxation at the GGA-PBE level of DFT.

Results
E above lowest polymorph, eV per atom: 0.640
Energy of formation from the pure elements, meV/atom: 663
Uncorrected energy, eV per atom: -7.160
Density, Mg/m³: 8.7

Structure (extended XYZ):
```
4
Lattice="1.423 0.822 9.520 -1.423 0.822 9.520 0.000 -1.643 9.520" Properties=species:S:1:pos:R:3 pbc="T T T"
Y 0.000 0.000 0.000
Cu 0.000 0.000 14.280
Tc 0.000 0.000 6.859
Tc 0.000 0.000 21.701
```


20.
Computed, not measured: AcTbPt2 after structural relaxation at the GGA-PBE level of DFT.

Results
E above lowest polymorph, eV per atom: 0.122
Energy of formation from the pure elements, meV/atom: -1045
Uncorrected energy, eV per atom: -6.250
Density, Mg/m³: 11.8

Structure (extended XYZ):
```
4
Lattice="2.088 1.205 7.216 -2.088 1.205 7.216 0.000 -2.410 7.216" Properties=species:S:1:pos:R:3 pbc="T T T"
Ac 0.000 0.000 0.000
Tb 0.000 0.000 3.741
Pt 0.000 0.000 12.534
Pt 0.000 0.000 16.456
```


21.
Computed, not measured: TbGe2PdPt5 after structural relaxation at the GGA-PBE level of DFT.

Results
Energy of formation from the pure elements, meV/atom: -611
Uncorrected energy, eV per atom: -6.084
Density, Mg/m³: 14.6

Structure (extended XYZ):
```
9
Lattice="4.064 0.000 0.000 0.000 4.064 0.000 0.000 0.000 9.533" Properties=species:S:1:pos:R:3 pbc="T T T"
Tb 0.000 0.000 0.000
Ge 2.032 2.032 3.571
Ge 2.032 2.032 5.962
Pd 0.000 0.000 4.766
Pt 0.000 2.032 2.161
Pt 0.000 2.032 7.371
Pt 2.032 0.000 2.161
Pt 2.032 0.000 7.371
Pt 2.032 2.032 0.000
```


22.
Computed, not measured: MgAgSe2 after structural relaxation at the GGA-PBE level of DFT.

Results
Uncorrected energy, eV per atom: -3.126
Density, Mg/m³: 5.9

Structure (extended XYZ):
```
4
Lattice="3.033 -3.643 0.000 3.033 3.643 0.000 0.000 0.000 3.697" Properties=species:S:1:pos:R:3 pbc="T T T"
Mg 0.000 0.000 0.000
Ag 3.033 0.000 0.000
Se 1.517 1.822 1.848
Se 1.517 -1.822 1.848
```


23.
Computed, not measured: InFeAs2 after structural relaxation at the GGA-PBE level of DFT.

Results
Energy of formation from the pure elements, meV/atom: 400
Uncorrected energy, eV per atom: -4.725
Density, Mg/m³: 7.0

Structure (extended XYZ):
```
4
Lattice="2.798 -3.790 0.000 2.798 3.790 0.000 0.000 0.000 3.576" Properties=species:S:1:pos:R:3 pbc="T T T"
In 0.000 0.000 0.000
Fe 2.798 0.000 0.000
As 1.399 1.895 1.788
As 1.399 -1.895 1.788
```


24.
Computed, not measured: Sc11In9Cu4 after structural relaxation at the GGA-PBE level of DFT.

Results
Energy of formation from the pure elements, meV/atom: -418
Uncorrected energy, eV per atom: -5.030
Density, Mg/m³: 5.9

Structure (extended XYZ):
```
24
Lattice="6.938 -10.413 0.000 6.938 10.413 0.000 0.000 0.000 3.465" Properties=species:S:1:pos:R:3 pbc="T T T"
Sc 0.000 0.000 0.000
Sc 3.384 3.567 0.000
Sc 6.938 7.099 0.000
Sc 4.272 0.000 0.000
Sc 6.938 2.679 0.000
Sc 3.384 -3.567 0.000
Sc 10.493 3.567 0.000
Sc 6.938 -2.679 0.000
Sc 9.605 0.000 0.000
Sc 6.938 -7.099 0.000
Sc 10.493 -3.567 0.000
In 2.003 1.533 1.732
In 5.437 4.975 1.732
In 2.003 -1.533 1.732
In 8.440 4.975 1.732
In 6.938 0.000 1.732
In 5.437 -4.975 1.732
In 11.873 1.533 1.732
In 8.440 -4.975 1.732
In 11.873 -1.533 1.732
Cu 4.861 2.080 1.732
Cu 4.861 -2.080 1.732
Cu 9.016 2.080 1.732
Cu 9.016 -2.080 1.732
```